[1]
Compound: Sr3CaP3
Source: the Alexandria database
Functional: PBE-GGA
Structure: relaxed

Summary:
The total magnetic moment comes out at 0.000 μB per formula unit. The value obtained for the formation energy is -97.9 kJ per mole of atoms. The calculation puts the density of states at the Fermi level at 7.4 states/eV/f.u. The total energy comes out at -4.340 eV per atom.

a = 9.163 Å, b = 9.163 Å, c = 9.163 Å
α = 90.00°, β = 90.00°, γ = 90.00°
Positions (direct):
1 Sr 0.068 0.432 0.568
2 Sr 0.181 0.819 0.319
3 Sr 0.182 0.182 0.182
4 Sr 0.318 0.818 0.682
5 Sr 0.319 0.181 0.819
6 Sr 0.432 0.568 0.068
7 Sr 0.568 0.068 0.432
8 Sr 0.681 0.681 0.681
9 Sr 0.682 0.318 0.818
10 Sr 0.818 0.682 0.318
11 Sr 0.819 0.319 0.181
12 Sr 0.932 0.932 0.932
13 Ca 0.065 0.565 0.935
14 Ca 0.435 0.435 0.435
15 Ca 0.565 0.935 0.065
16 Ca 0.935 0.065 0.565
17 P 0.001 0.256 0.873
18 P 0.127 0.501 0.244
19 P 0.244 0.127 0.501
20 P 0.256 0.873 0.001
21 P 0.373 0.499 0.744
22 P 0.499 0.744 0.373
23 P 0.501 0.244 0.127
24 P 0.627 0.999 0.756
25 P 0.744 0.373 0.499
26 P 0.756 0.627 0.999
27 P 0.873 0.001 0.256
28 P 0.999 0.756 0.627



[2]
Compound: La2TbTl3
Source: the Alexandria database
Functional: PBE-GGA
Structure: relaxed

Summary:
The total magnetic moment comes out at 0.000 μB per formula unit. The value obtained for the formation energy is -39.2 kJ per mole of atoms. The calculation puts the density of states at the Fermi level at 5.1 states/eV/f.u. The total energy comes out at -4.004 eV per atom.

a = 3.872 Å, b = 3.872 Å, c = 12.083 Å
α = 90.00°, β = 90.00°, γ = 90.00°
Positions (direct):
1 La 0.000 0.000 0.173
2 La 0.000 0.000 0.827
3 Tb 0.000 0.000 0.500
4 Tl 0.500 0.500 0.000
5 Tl 0.500 0.500 0.349
6 Tl 0.500 0.500 0.651



[3]
Compound: Si2NiAu
Source: the Alexandria database
Functional: PBE-GGA
Structure: relaxed

Summary:
The total magnetic moment comes out at 0.000 μB per formula unit. The calculation puts the density of states at the Fermi level at 1.2 states/eV/f.u. The total energy comes out at -5.194 eV per atom. The value obtained for the raw formation energy is -0.218 eV per atom.

a = 6.404 Å, b = 3.697 Å, c = 5.134 Å
α = 90.00°, β = 90.02°, γ = 90.00°
Positions (direct):
1 Si 0.000 0.000 0.000
2 Si 0.167 0.500 0.644
3 Si 0.500 0.500 0.000
4 Si 0.667 0.000 0.644
5 Ni 0.334 0.000 0.822
6 Ni 0.834 0.500 0.822
7 Au 0.331 0.000 0.322
8 Au 0.831 0.500 0.322



[4]
Compound: LiPm3Dy3Te8
Source: the Alexandria database
Functional: PBE-GGA
Structure: relaxed

Summary:
The total magnetic moment comes out at 0.000 μB per formula unit. The calculation puts the density of states at the Fermi level at 4.5 states/eV/f.u. The total energy comes out at -5.034 eV per atom. The value obtained for the raw formation energy is -1.360 eV per atom.

a = 8.796 Å, b = 8.796 Å, c = 8.796 Å
α = 59.79°, β = 59.79°, γ = 59.79°
Positions (direct):
1 Li 0.000 0.000 0.000
2 Pm 0.000 0.000 0.500
3 Pm 0.000 0.500 0.000
4 Pm 0.500 0.000 0.000
5 Dy 0.000 0.500 0.500
6 Dy 0.500 0.000 0.500
7 Dy 0.500 0.500 0.000
8 Te 0.248 0.248 0.746
9 Te 0.248 0.746 0.248
10 Te 0.253 0.253 0.253
11 Te 0.254 0.752 0.752
12 Te 0.746 0.248 0.248
13 Te 0.747 0.747 0.747
14 Te 0.752 0.254 0.752
15 Te 0.752 0.752 0.254



Repeat the third record exactly.
Compound: Si2NiAu
Source: the Alexandria database
Functional: PBE-GGA
Structure: relaxed

Summary:
The total magnetic moment comes out at 0.000 μB per formula unit. The calculation puts the density of states at the Fermi level at 1.2 states/eV/f.u. The total energy comes out at -5.194 eV per atom. The value obtained for the raw formation energy is -0.218 eV per atom.

a = 6.404 Å, b = 3.697 Å, c = 5.134 Å
α = 90.00°, β = 90.02°, γ = 90.00°
Positions (direct):
1 Si 0.000 0.000 0.000
2 Si 0.167 0.500 0.644
3 Si 0.500 0.500 0.000
4 Si 0.667 0.000 0.644
5 Ni 0.334 0.000 0.822
6 Ni 0.834 0.500 0.822
7 Au 0.331 0.000 0.322
8 Au 0.831 0.500 0.322



What did the second record say?
Compound: La2TbTl3
Source: the Alexandria database
Functional: PBE-GGA
Structure: relaxed

Summary:
The total magnetic moment comes out at 0.000 μB per formula unit. The value obtained for the formation energy is -39.2 kJ per mole of atoms. The calculation puts the density of states at the Fermi level at 5.1 states/eV/f.u. The total energy comes out at -4.004 eV per atom.

a = 3.872 Å, b = 3.872 Å, c = 12.083 Å
α = 90.00°, β = 90.00°, γ = 90.00°
Positions (direct):
1 La 0.000 0.000 0.173
2 La 0.000 0.000 0.827
3 Tb 0.000 0.000 0.500
4 Tl 0.500 0.500 0.000
5 Tl 0.500 0.500 0.349
6 Tl 0.500 0.500 0.651